# 1
{"formula": "Cs2CeBeO4", "functional": "PBE", "state": "relaxed", "sg": "No. 59", "lattice_angstrom": [[-3.268, -2.766, 4.538], [5.779, -3.976, 1.739], [2.041, 4.920, 4.469]], "species": ["O", "Cs", "O", "Ce", "O", "Be", "O", "Be", "Ce", "Cs", "O", "Cs", "O", "O", "Cs", "O"], "frac_coords": [[0.000, 0.276, 0.217], [0.000, 0.702, 0.251], [0.500, 0.724, 0.717], [0.000, 0.144, 0.500], [0.000, 0.276, 0.783], [0.500, 0.845, 0.500], [0.500, 0.724, 0.283], [0.000, 0.155, 0.000], [0.500, 0.856, 0.000], [0.500, 0.298, 0.751], [0.222, 0.020, 0.000], [0.500, 0.298, 0.249], [0.722, 0.980, 0.500], [0.778, 0.020, 0.000], [0.000, 0.702, 0.749], [0.278, 0.980, 0.500]]}


# 2
{"formula": "Te4Rh3", "functional": "PBE", "state": "relaxed", "sg": "No. 227", "dos_at_fermi_per_ev_fu": 3.8, "lattice_angstrom": [[-5.851, -0.191, 5.171], [-7.069, -2.496, -2.191], [-2.699, -6.856, 2.593]], "species": ["Te", "Te", "Te", "Rh", "Te", "Rh", "Rh", "Te", "Te", "Rh", "Te", "Te", "Rh", "Rh"], "frac_coords": [[0.741, 0.741, 0.276], [0.259, 0.724, 0.259], [0.259, 0.259, 0.259], [0.875, 0.875, 0.875], [0.741, 0.276, 0.741], [0.500, 0.500, 0.000], [0.500, 0.500, 0.500], [0.259, 0.259, 0.724], [0.276, 0.741, 0.741], [0.500, 0.000, 0.500], [0.741, 0.741, 0.741], [0.724, 0.259, 0.259], [0.000, 0.500, 0.500], [0.125, 0.125, 0.125]]}


# 3
{"formula": "AcRe3N8", "functional": "PBE", "state": "relaxed", "sg": "No. 164", "dos_at_fermi_per_ev_fu": 2.5, "lattice_angstrom": [[-1.560, 0.293, -5.491], [-3.627, -2.086, 3.894], [-2.508, 6.320, 1.050]], "species": ["N", "Re", "N", "N", "Re", "Re", "Ac", "N", "N", "N", "N", "N"], "frac_coords": [[0.333, 0.667, 0.513], [0.333, 0.667, 0.257], [0.667, 0.333, 0.487], [0.843, 0.686, 0.826], [0.667, 0.333, 0.743], [0.000, 0.000, 0.000], [0.000, 0.000, 0.500], [0.314, 0.157, 0.826], [0.843, 0.157, 0.826], [0.686, 0.843, 0.174], [0.157, 0.843, 0.174], [0.157, 0.314, 0.174]]}


Across the entries above, energy relative to the elements, uncorrected takes the values -2.221 -0.372 -0.055 eV/atom, respectively.